Density functional theory data (PBE) for a relaxed structure of La2Ti2Os.

a b c (Å): 10.2918 10.2918 10.2918
angles (deg): 160.24 160.24 28.09
Fractional positions:
La (0.0881, 0.0881, 0.0000)
La (0.9119, 0.9119, 0.0000)
Ti (0.2500, 0.7500, 0.5000)
Ti (0.7500, 0.2500, 0.5000)
Os (0.5000, 0.5000, 0.0000)

The value obtained for the formation energy is 33.2 kJ/mol of atoms. For the energy relative to the lowest polymorph listed for this composition, the calculation gives 0 kJ/mol of formula units.

Density functional theory data (PBE) for a relaxed structure of Li2FeSi.

a b c (Å): 9.1046 9.1046 9.1046
angles (deg): 16.56 16.56 16.56
Fractional positions:
Li (0.2475, 0.2475, 0.2475)
Li (0.7525, 0.7525, 0.7525)
Fe (0.0000, 0.0000, 0.0000)
Si (0.5000, 0.5000, 0.5000)

For the uncorrected formation energy, the calculation gives 46 kJ/mol of formula units.

Density functional theory data (PBE) for a relaxed structure of ScCuBr2.

a b c (Å): 3.4473 3.4473 8.2614
angles (deg): 90.00 90.00 92.94
Fractional positions:
Sc (0.0000, 0.0000, 0.0000)
Cu (0.5000, 0.5000, 0.8212)
Br (0.0000, 0.0000, 0.6686)
Br (0.5000, 0.5000, 0.2202)

For the energy relative to the lowest polymorph listed for this composition, the calculation gives 33 kJ/mol of formula units. For the uncorrected formation energy, the calculation gives -254 kJ/mol of formula units.

Density functional theory data (PBE) for a relaxed structure of AcLaAgPd.

a b c (Å): 5.3997 5.3997 5.3997
angles (deg): 60.00 60.00 60.00
Fractional positions:
Ac (0.0000, 0.0000, 0.0000)
La (0.5000, 0.5000, 0.5000)
Ag (0.2500, 0.2500, 0.2500)
Pd (0.7500, 0.7500, 0.7500)

The value obtained for the formation energy is -45.3 kJ/mol of atoms. For the energy relative to the lowest polymorph listed for this composition, the calculation gives 16 kJ/mol of formula units.

Density functional theory data (PBE) for a relaxed structure of Ba3LaHg4.

a b c (Å): 4.1044 4.1044 16.6969
angles (deg): 90.00 90.00 90.00
Fractional positions:
Ba (0.0000, 0.0000, 0.0000)
Ba (0.0000, 0.0000, 0.2589)
Ba (0.0000, 0.0000, 0.7411)
La (0.0000, 0.0000, 0.5000)
Hg (0.5000, 0.5000, 0.1288)
Hg (0.5000, 0.5000, 0.3949)
Hg (0.5000, 0.5000, 0.6051)
Hg (0.5000, 0.5000, 0.8712)

The value obtained for the formation energy is -49.5 kJ/mol of atoms.

Density functional theory data (PBE) for a relaxed structure of CaBeCu2Re.

a b c (Å): 4.7271 4.7271 4.3869
angles (deg): 90.00 90.00 90.00
Fractional positions:
Ca (0.0000, 0.0000, 0.0000)
Be (0.5000, 0.5000, 0.0000)
Cu (0.0000, 0.5000, 0.5000)
Cu (0.5000, 0.0000, 0.5000)
Re (0.5000, 0.5000, 0.5000)

The value obtained for the formation energy is 66.8 kJ/mol of atoms.

| no. | VASP energy (eV per atom) |
| --- | --- |
| 1 | -7.030 |
| 2 | -4.310 |
| 3 | -4.102 |
| 4 | -4.739 |
| 5 | -2.001 |
| 6 | -4.581 |